Record 1
Below is a geometry-optimized KTaVF2 structure, with properties calculated at the PBE with a Hubbard U level.

## Properties
**Symmetry**: P4/mmm, No. 123
**Crystal system**: tetragonal
**Uncorrected energy**: -0.17672 Ha/atom

Cell: 4.2059 7.2703 4.2059 Å, 90.00 90.00 90.00°
Last column: nearest neighbours and their distance in Å.
Element x y z (fractional)
K1 0.0000 0.5000 0.0000  4 V 2.97
V1 0.5000 0.5000 0.5000  4 K 2.97
F1 0.0000 0.0000 0.5000  2 Ta 2.10
F2 0.5000 0.0000 0.0000  2 Ta 2.10
Ta1 0.0000 0.0000 0.0000  4 F 2.10

***

Record 2
Below is a geometry-optimized KTaWF2 structure, with properties calculated at the PBE with a Hubbard U level.

## Properties
**Symmetry**: P4/mmm, No. 123
**Crystal system**: tetragonal
**Uncorrected energy**: -0.17133 Ha/atom

Cell: 4.2608 7.4289 4.2608 Å, 90.00 90.00 90.00°
Last column: nearest neighbours and their distance in Å.
Element x y z (fractional)
K1 0.0000 0.5000 0.0000  4 W 3.01
F1 0.0000 0.0000 0.5000  2 Ta 2.13
F2 0.5000 0.0000 0.0000  2 Ta 2.13
W1 0.5000 0.5000 0.5000  4 K 3.01
Ta1 0.0000 0.0000 0.0000  4 F 2.13